ZnSi2Au | PBE-GGA | relaxed

## Properties
E_form (uncorrected)	0.333	eV per atom

a b c (Å): 2.9439 2.9439 7.5607
angles (deg): 90.00 90.00 90.00
Element x y z (fractional)
1 Zn 0.0000 0.0000 0.0000
2 Si 0.5000 0.5000 0.2492
3 Si 0.5000 0.5000 0.7508
4 Au 0.0000 0.0000 0.5000

Zn2SiAu8 | PBE-GGA | relaxed

## Properties
E_form (uncorrected)	-0.066	eV per atom
energy above the lowest structure with this stoichiometry	0.000	eV/atom

a b c (Å): 8.6743 8.6743 5.8447
angles (deg): 109.16 109.16 28.15
Element x y z (fractional)
1 Zn 0.1827 0.1827 0.2232
2 Zn 0.8173 0.8173 0.7768
3 Si 0.5000 0.5000 0.5000
4 Au 0.0174 0.0174 0.2578
5 Au 0.2152 0.2152 0.7927
6 Au 0.3545 0.3545 0.5545
7 Au 0.3926 0.3926 0.0835
8 Au 0.6074 0.6074 0.9165
9 Au 0.6455 0.6455 0.4455
10 Au 0.7848 0.7848 0.2073
11 Au 0.9826 0.9826 0.7422

ZnSi2Au2 | PBE-GGA | relaxed

## Properties
E_form (uncorrected)	0.165	eV per atom
energy above the lowest structure with this stoichiometry	0.000	eV/atom

a b c (Å): 7.7067 7.7067 7.7067
angles (deg): 154.13 154.13 36.91
Element x y z (fractional)
1 Zn 0.0000 0.0000 0.0000
2 Si 0.2500 0.7500 0.5000
3 Si 0.7500 0.2500 0.5000
4 Au 0.4041 0.4041 0.0000
5 Au 0.5959 0.5959 0.0000

ZnSi2Au | PBE-GGA | relaxed

## Properties
E_form (uncorrected)	0.166	eV per atom

a b c (Å): 3.6856 3.2499 5.8993
angles (deg): 90.00 107.79 90.00
Element x y z (fractional)
1 Zn 0.0000 0.0000 0.0000
2 Si 0.2153 0.0000 0.4539
3 Si 0.6433 0.5000 0.3028
4 Au 0.4136 0.5000 0.8238

ZnSi2Au | PBE-GGA | relaxed

## Properties
E_form (uncorrected)	0.275	eV per atom

a b c (Å): 5.8320 5.8320 5.8320
angles (deg): 101.18 101.18 127.76
Element x y z (fractional)
1 Zn 0.0000 0.0000 0.0000
2 Zn 0.7500 0.2500 0.5000
3 Si 0.1473 0.6250 0.0223
4 Si 0.3750 0.3973 0.5223
5 Si 0.6027 0.1250 0.9777
6 Si 0.8750 0.8527 0.4777
7 Au 0.2500 0.7500 0.5000
8 Au 0.5000 0.5000 0.0000

ZnSi2Au | PBE-GGA | relaxed

## Properties
E_form (uncorrected)	0.280	eV per atom

a b c (Å): 4.5998 4.5998 3.3702
angles (deg): 90.00 90.00 110.89
Element x y z (fractional)
1 Zn 0.0000 0.0000 0.0000
2 Si 0.0000 0.5000 0.5000
3 Si 0.5000 0.0000 0.5000
4 Au 0.5000 0.5000 0.0000

ZnSi2Au | PBE-GGA | relaxed

## Properties
E_form (uncorrected)	0.279	eV per atom

a b c (Å): 2.7121 4.7148 5.1313
angles (deg): 90.00 90.00 90.00
Element x y z (fractional)
1 Zn 0.0000 0.0000 0.0000
2 Si 0.0000 0.5000 0.5000
3 Si 0.5000 0.0000 0.5000
4 Au 0.5000 0.5000 0.0000

ZnSi2Au | PBE-GGA | relaxed

## Properties
E_form (uncorrected)	0.257	eV per atom

a b c (Å): 2.8778 2.8778 7.6454
angles (deg): 90.00 90.00 91.83
Element x y z (fractional)
1 Zn 0.0000 0.0000 0.0000
2 Si 0.0000 0.0000 0.5093
3 Si 0.5000 0.5000 0.7568
4 Au 0.5000 0.5000 0.2567

ZnSi2Au2 | PBE-GGA | relaxed

## Properties
E_form (uncorrected)	0.261	eV per atom
energy above the lowest structure with this stoichiometry	0.097	eV/atom

a b c (Å): 7.1285 7.1285 3.5254
angles (deg): 90.00 90.00 90.00
Element x y z (fractional)
1 Zn 0.0000 0.0000 0.0000
2 Zn 0.5000 0.5000 0.0000
3 Si 0.1624 0.3376 0.5000
4 Si 0.3376 0.8376 0.5000
5 Si 0.6624 0.1624 0.5000
6 Si 0.8376 0.6624 0.5000
7 Au 0.1457 0.6457 0.0000
8 Au 0.3543 0.1457 0.0000
9 Au 0.6457 0.8543 0.0000
10 Au 0.8543 0.3543 0.0000

ZnSiAu | PBE-GGA | relaxed

## Properties
E_form (uncorrected)	0.164	eV per atom

a b c (Å): 4.5145 4.5145 2.8154
angles (deg): 90.00 90.00 120.00
Element x y z (fractional)
1 Zn 0.0000 0.0000 0.0000
2 Si 0.3333 0.6667 0.4956
3 Au 0.6667 0.3333 0.4952

ZnSiAu6 | PBE-GGA | relaxed

## Properties
E_form (uncorrected)	0.019	eV per atom

a b c (Å): 5.3925 5.4758 5.7167
angles (deg): 67.96 74.74 72.18
Element x y z (fractional)
1 Zn 0.0000 0.0000 0.0000
2 Si 0.5000 0.5000 0.5000
3 Au 0.0097 0.7468 0.4975
4 Au 0.2617 0.5174 0.9460
5 Au 0.4855 0.0212 0.7446
6 Au 0.5145 0.9788 0.2554
7 Au 0.7383 0.4826 0.0540
8 Au 0.9903 0.2532 0.5025

Zn2Si2Au | PBE-GGA | relaxed

## Properties
E_form (uncorrected)	0.186	eV per atom
energy above the lowest structure with this stoichiometry	0.000	eV/atom

a b c (Å): 7.5986 7.5986 7.5986
angles (deg): 154.00 154.00 37.11
Element x y z (fractional)
1 Zn 0.0966 0.0966 0.0000
2 Zn 0.9034 0.9034 0.0000
3 Si 0.2500 0.7500 0.5000
4 Si 0.7500 0.2500 0.5000
5 Au 0.5000 0.5000 0.0000